A plane-wave DFT calculation with PBE was carried out for a relaxed structure of SmSi3Tc2.

Space-group type: Cmcm (63)
M_tot: 0.000 μB per formula unit
Formation energy without anion corrections: -0.56 eV per atom

Cell lengths 5.807, 5.998, 5.998 Å; angles 104.81, 90.00, 90.00 degrees
Fractional positions:
Sm (0.250, 0.340, 0.340)
Sm (0.750, 0.660, 0.660)
Si (0.750, 0.463, 0.121)
Si (0.750, 0.121, 0.463)
Si (0.250, 0.537, 0.879)
Si (0.750, 0.059, 0.059)
Si (0.250, 0.941, 0.941)
Si (0.250, 0.879, 0.537)
Tc (0.500, 0.796, 0.204)
Tc (0.000, 0.796, 0.204)
Tc (0.000, 0.204, 0.796)
Tc (0.500, 0.204, 0.796)

A plane-wave DFT calculation with PBE was carried out for a relaxed structure of BaHgC2Se.

Space-group type: P4/mmm (123)
M_tot: 4.071 μB per formula unit
Formation energy without anion corrections: 2.29 eV per atom

Cell lengths 5.025, 6.610, 5.025 Å; angles 90.00, 90.00, 90.00 degrees
Last column: magnetic moment on the atom in μB.
Fractional positions:
C (0.000, 0.000, 0.500)  0.88
C (0.500, 0.000, 0.000)  0.91
Hg (0.500, 0.500, 0.500)  0.02
Se (0.000, 0.500, 0.000)  0.01
Ba (0.000, 0.000, 0.000)  0.16

A plane-wave DFT calculation with PBE was carried out for a relaxed structure of K3Tl5Sb2.

Space-group type: Ibam (72)
M_tot: 0.000 μB per formula unit
Formation energy without anion corrections: -0.17 eV per atom

Cell lengths 7.408, 10.810, 10.810 Å; angles 76.84, 69.96, 69.96 degrees
Fractional positions:
K (0.250, 0.000, 0.000)
K (0.750, 0.000, 0.000)
K (0.367, 0.387, 0.879)
K (0.633, 0.613, 0.121)
K (0.867, 0.879, 0.387)
K (0.133, 0.121, 0.613)
Tl (0.250, 0.500, 0.500)
Tl (0.750, 0.500, 0.500)
Tl (0.505, 0.745, 0.745)
Tl (0.995, 0.255, 0.255)
Tl (0.495, 0.255, 0.255)
Tl (0.005, 0.745, 0.745)
Tl (0.120, 0.517, 0.243)
Tl (0.880, 0.483, 0.757)
Tl (0.620, 0.243, 0.517)
Tl (0.380, 0.757, 0.483)
Sb (0.144, 0.710, 0.003)
Sb (0.856, 0.290, 0.997)
Sb (0.644, 0.003, 0.710)
Sb (0.356, 0.997, 0.290)

A plane-wave DFT calculation with PBE was carried out for a relaxed structure of Sm3Dy3TmTe8.

Space-group type: R-3m (166)
M_tot: 0.000 μB per formula unit
Formation energy without anion corrections: -1.38 eV per atom

Cell lengths 8.746, 8.746, 8.771 Å; angles 119.90, 90.00, 120.00 degrees
Fractional positions:
Sm (0.000, 0.000, 0.000)
Sm (0.000, 0.500, 0.000)
Sm (0.500, 0.500, 0.000)
Dy (0.500, 0.000, 0.500)
Dy (0.500, 0.500, 0.500)
Dy (0.000, 0.500, 0.500)
Tm (0.000, 0.000, 0.500)
Te (0.252, 0.505, 0.257)
Te (0.748, 0.495, 0.743)
Te (0.749, 0.497, 0.254)
Te (0.251, 0.503, 0.746)
Te (0.749, 0.005, 0.254)
Te (0.251, 0.995, 0.746)
Te (0.256, 0.005, 0.254)
Te (0.744, 0.995, 0.746)